[1]
# HoInH6Ir2 | the Alexandria database | PBE-GGA | optimized geometry
# Crystal system ... monoclinic
# Magnetization ... 0.000 μB per atom
# DFT total energy ... -4.77 eV/atom
data_HoInH6Ir2
_space_group_name_H-M_alt 'C 1 2/c 1'
_space_group_IT_number 15
_cell_length_a 7.4106
_cell_length_b 11.6002
_cell_length_c 5.3836
_cell_angle_alpha 90.00
_cell_angle_beta 109.91
_cell_angle_gamma 90.00
loop_
_space_group_symop_operation_xyz
'x,y,z'
'-x,-y,-z'
'-x,y,-z+1/2'
'x,-y,z+1/2'
'x+1/2,y+1/2,z'
'-x+1/2,-y+1/2,-z'
'-x+1/2,y+1/2,-z+1/2'
'x+1/2,-y+1/2,z+1/2'
loop_
_atom_site_label
_atom_site_type_symbol
_atom_site_fract_x
_atom_site_fract_y
_atom_site_fract_z
_atom_site_occupancy
Ho1 Ho 0.0000 0.1216 0.2500 1
In1 In 0.0000 0.3062 0.7500 1
H1 H 0.0631 0.4321 0.0732 1
H2 H 0.2080 0.0074 0.0971 1
H3 H 0.2332 0.3086 0.3719 1
Ir1 Ir 0.2107 0.1056 0.8424 1

---

[2]
# RbAlHg2Cl8 | the Alexandria database | PBE-GGA | optimized geometry
# Formation energy without anion corrections ... -1121 meV per atom
# Crystal system ... triclinic
# Magnetization ... 0.000 μB per atom
# DFT total energy ... -2.79 eV/atom
data_RbAlHg2Cl8
_space_group_name_H-M_alt 'P -1'
_space_group_IT_number 2
_cell_length_a 6.3997
_cell_length_b 7.2988
_cell_length_c 8.8777
_cell_angle_alpha 68.33
_cell_angle_beta 83.71
_cell_angle_gamma 86.59
loop_
_space_group_symop_operation_xyz
'x,y,z'
'-x,-y,-z'
loop_
_atom_site_label
_atom_site_type_symbol
_atom_site_fract_x
_atom_site_fract_y
_atom_site_fract_z
_atom_site_occupancy
Rb1 Rb 0.0000 0.0000 0.0000 1
Al1 Al 0.0000 0.5000 0.5000 1
Hg1 Hg 0.4691 0.5101 0.2202 1
Cl1 Cl 0.1224 0.4760 0.7525 1
Cl2 Cl 0.2083 0.7630 0.3600 1
Cl3 Cl 0.2718 0.2746 0.4632 1
Cl4 Cl 0.4786 0.7693 0.9445 1